The following is a DFT calculation (GGA-PBE) of an optimized crystal structure of K2TlRuF8.

Output
The density of states at the Fermi level comes out at 6.76 states/eV/cell. Its space group is No. 164. For the uncorrected energy, the calculation gives -4.423 eV per atom. As for the uncorrected formation energy: -2023 meV/atom. For the total magnetic moment, the calculation gives 3.06 μB per cell.

abc: 5.3011 5.3011 8.9353
angles: 90.00 90.00 120.00
With the nearest neighbours (Å) after each atom.
Atoms (fractional coordinates):
K: 0.3333 0.6667 0.2327  1 F 2.52
K: 0.6667 0.3333 0.7673  1 F 2.52
Tl: 0.0000 0.0000 0.0000  6 F 3.09
Ru: 0.0000 0.0000 0.5000  6 F 1.90
F: 0.1645 0.3289 0.6294  1 Ru 1.90
F: 0.1645 0.8355 0.6294  1 Ru 1.90
F: 0.3289 0.1645 0.3706  1 Ru 1.90
F: 0.3333 0.6667 0.9509  1 K 2.52
F: 0.6667 0.3333 0.0491  1 K 2.52
F: 0.6711 0.8355 0.6294  1 Ru 1.90
F: 0.8355 0.1645 0.3706  1 Ru 1.90
F: 0.8355 0.6711 0.3706  1 Ru 1.90


The following is a DFT calculation (GGA-PBE) of an optimized crystal structure of Cu2WAu.

Output
Its calculated formation energy is 1.83 eV per formula unit. The density of states at the Fermi level comes out at 2.70 states/eV/cell. Its space group is No. 119. For the uncorrected energy, the calculation gives -5.647 eV per atom. For the total magnetic moment, the calculation gives 0.00 μB per cell. As for the excess energy over the best structure of this formula in the dataset: 264 meV per atom.

abc: 4.6788 4.6788 4.6788
angles: 130.22 130.22 73.05
With the nearest neighbours (Å) after each atom.
Atoms (fractional coordinates):
Cu: 0.0000 0.0000 0.0000  4 Cu 2.72, 4 W 2.72, 4 Au 2.78
Cu: 0.7500 0.2500 0.5000  4 Au 2.72, 4 Cu 2.72, 4 W 2.78
W: 0.2500 0.7500 0.5000  4 Au 2.72, 8 Cu 2.72-2.78
Au: 0.5000 0.5000 0.0000  8 Cu 2.72-2.78, 4 W 2.72


The following is a DFT calculation (GGA-PBE) of an optimized crystal structure of La12Nd3Sc.

Output
Its calculated formation energy is 0.23 eV per formula unit. The density of states at the Fermi level comes out at 24.70 states/eV/cell. Its space group is No. 123. For the uncorrected energy, the calculation gives -4.971 eV per atom. For the total magnetic moment, the calculation gives 0.00 μB per cell.

abc: 5.2116 5.2116 20.8736
angles: 90.00 90.00 90.00
With the nearest neighbours (Å) after each atom.
Atoms (fractional coordinates):
La: 0.0000 0.0000 0.0000  8 La 3.62, 4 Sc 3.69
La: 0.0000 0.0000 0.2472  4 Nd 3.69, 8 La 3.70-3.71
La: 0.0000 0.0000 0.5000  4 Nd 3.69, 8 La 3.72
La: 0.0000 0.0000 0.7528  4 Nd 3.69, 8 La 3.70-3.71
La: 0.0000 0.5000 0.1205  8 La 3.62-3.71, 2 Sc 3.62, 2 Nd 3.70
La: 0.0000 0.5000 0.3729  8 La 3.69-3.72, 4 Nd 3.71-3.72
La: 0.0000 0.5000 0.6271  8 La 3.69-3.72, 4 Nd 3.71-3.72
La: 0.0000 0.5000 0.8795  8 La 3.62-3.71, 2 Sc 3.62, 2 Nd 3.70
La: 0.5000 0.0000 0.1205  8 La 3.62-3.71, 2 Sc 3.62, 2 Nd 3.70
La: 0.5000 0.0000 0.3729  8 La 3.69-3.72, 4 Nd 3.71-3.72
La: 0.5000 0.0000 0.6271  8 La 3.69-3.72, 4 Nd 3.71-3.72
La: 0.5000 0.0000 0.8795  8 La 3.62-3.71, 2 Sc 3.62, 2 Nd 3.70
Nd: 0.5000 0.5000 0.2462  12 La 3.69-3.71
Nd: 0.5000 0.5000 0.5000  12 La 3.69-3.72
Nd: 0.5000 0.5000 0.7538  12 La 3.69-3.71
Sc: 0.5000 0.5000 0.0000  12 La 3.62-3.69


The following is a DFT calculation (GGA-PBE) of an optimized crystal structure of Li2Nb2O5F2.

Output
The density of states at the Fermi level comes out at 0.00 states/eV/cell. Its space group is No. 139. For the uncorrected energy, the calculation gives -7.403 eV per atom. As for the uncorrected formation energy: -2630 meV/atom. For the total magnetic moment, the calculation gives 0.00 μB per cell.

abc: 9.5349 9.5349 9.5349
angles: 156.05 156.05 34.13
With the nearest neighbours (Å) after each atom.
Atoms (fractional coordinates):
Li: 0.1789 0.1789 0.0000  1 F 1.84
Li: 0.8211 0.8211 0.0000  1 F 1.84
Nb: 0.3941 0.3941 0.0000  5 O 1.93-1.99, 1 F 2.08
Nb: 0.6059 0.6059 0.0000  5 O 1.93-1.99, 1 F 2.08
O: 0.1188 0.6188 0.5000  2 Nb 1.99
O: 0.3812 0.8812 0.5000  2 Nb 1.99
O: 0.5000 0.5000 0.0000  2 Nb 1.93
O: 0.6188 0.1188 0.5000  2 Nb 1.99
O: 0.8812 0.3812 0.5000  2 Nb 1.99
F: 0.2800 0.2800 0.0000  1 Li 1.84
F: 0.7200 0.7200 0.0000  1 Li 1.84


The following is a DFT calculation (GGA-PBE) of an optimized crystal structure of La12Dy6Sc.

Output
Its calculated formation energy is 0.62 eV per formula unit. The density of states at the Fermi level comes out at 34.34 states/eV/cell. Its space group is No. 148. For the uncorrected energy, the calculation gives -4.866 eV per atom. For the total magnetic moment, the calculation gives 0.00 μB per cell.

abc: 9.6438 9.6438 9.6438
angles: 110.79 110.79 110.79
With the nearest neighbours (Å) after each atom.
Atoms (fractional coordinates):
La: 0.0573 0.5823 0.3733  8 La 3.62-3.70, 4 Dy 3.63-3.70
La: 0.1029 0.1554 0.7393  1 Sc 3.60, 8 La 3.60-3.70, 3 Dy 3.65-3.74
La: 0.1554 0.7393 0.1029  1 Sc 3.60, 8 La 3.60-3.70, 3 Dy 3.65-3.74
La: 0.2607 0.8971 0.8446  1 Sc 3.60, 8 La 3.60-3.70, 3 Dy 3.65-3.74
La: 0.3733 0.0573 0.5823  8 La 3.62-3.70, 4 Dy 3.63-3.70
La: 0.4177 0.6267 0.9427  8 La 3.62-3.70, 4 Dy 3.63-3.70
La: 0.5823 0.3733 0.0573  8 La 3.62-3.70, 4 Dy 3.63-3.70
La: 0.6267 0.9427 0.4177  8 La 3.62-3.70, 4 Dy 3.63-3.70
La: 0.7393 0.1029 0.1554  1 Sc 3.60, 8 La 3.60-3.70, 3 Dy 3.65-3.74
La: 0.8446 0.2607 0.8971  1 Sc 3.60, 8 La 3.60-3.70, 3 Dy 3.65-3.74
La: 0.8971 0.8446 0.2607  1 Sc 3.60, 8 La 3.60-3.70, 3 Dy 3.65-3.74
La: 0.9427 0.4177 0.6267  8 La 3.62-3.70, 4 Dy 3.63-3.70
Dy: 0.2137 0.3155 0.4687  4 Dy 3.53-3.64, 1 Sc 3.62, 7 La 3.63-3.74
Dy: 0.3155 0.4687 0.2137  4 Dy 3.53-3.64, 1 Sc 3.62, 7 La 3.63-3.74
Dy: 0.4687 0.2137 0.3155  4 Dy 3.53-3.64, 1 Sc 3.62, 7 La 3.63-3.74
Dy: 0.5313 0.7863 0.6845  4 Dy 3.53-3.64, 1 Sc 3.62, 7 La 3.63-3.74
Dy: 0.6845 0.5313 0.7863  4 Dy 3.53-3.64, 1 Sc 3.62, 7 La 3.63-3.74
Dy: 0.7863 0.6845 0.5313  4 Dy 3.53-3.64, 1 Sc 3.62, 7 La 3.63-3.74
Sc: 0.0000 0.0000 0.0000  6 La 3.60, 6 Dy 3.62


The following is a DFT calculation (GGA-PBE) of an optimized crystal structure of YFe2Si3.

Output
The density of states at the Fermi level comes out at 8.26 states/eV/cell. Its space group is No. 63. For the uncorrected energy, the calculation gives -7.210 eV per atom. As for the uncorrected formation energy: -600 meV/atom. For the total magnetic moment, the calculation gives 0.00 μB per cell.

abc: 5.8805 5.8805 5.1738
angles: 90.00 90.00 75.51
With the nearest neighbours (Å) after each atom.
Atoms (fractional coordinates):
Y: 0.1594 0.8406 0.7500  9 Si 2.89-3.21
Y: 0.8406 0.1594 0.2500  9 Si 2.89-3.21
Fe: 0.2998 0.2998 0.0000  6 Si 2.27-2.43
Fe: 0.2998 0.2998 0.5000  6 Si 2.27-2.43
Fe: 0.7002 0.7002 0.0000  6 Si 2.27-2.43
Fe: 0.7002 0.7002 0.5000  6 Si 2.27-2.43
Si: 0.0269 0.5981 0.2500  4 Fe 2.27-2.43, 1 Si 2.38
Si: 0.4019 0.9731 0.2500  4 Fe 2.27-2.43, 1 Si 2.38
Si: 0.4389 0.5611 0.2500  4 Fe 2.31, 2 Si 2.38
Si: 0.5611 0.4389 0.7500  4 Fe 2.31, 2 Si 2.38
Si: 0.5981 0.0269 0.7500  4 Fe 2.27-2.43, 1 Si 2.38
Si: 0.9731 0.4019 0.7500  4 Fe 2.27-2.43, 1 Si 2.38


The following is a DFT calculation (GGA-PBE) of an optimized crystal structure of GeHS2.

Output
The density of states at the Fermi level comes out at 3.86 states/eV/cell. Its space group is No. 33. For the uncorrected energy, the calculation gives -4.128 eV per atom. For the total magnetic moment, the calculation gives 0.00 μB per cell. As for the excess energy over the best structure of this formula in the dataset: 0 meV per atom.

abc: 6.2005 9.2750 6.5826
angles: 90.00 90.00 90.00
With the nearest neighbours (Å) after each atom.
Atoms (fractional coordinates):
Ge: 0.0088 0.1163 0.0000  3 S 2.24-2.41
Ge: 0.4912 0.6163 0.5000  3 S 2.24-2.41
Ge: 0.5088 0.3837 0.0000  3 S 2.24-2.41
Ge: 0.9912 0.8837 0.5000  3 S 2.24-2.41
H: 0.0502 0.5550 0.4404  1 S 1.36
H: 0.4498 0.0550 0.9404  1 S 1.36
H: 0.5502 0.9450 0.4404  1 S 1.36
H: 0.9498 0.4450 0.9404  1 S 1.36
S: 0.1367 0.0708 0.3329  2 Ge 2.24-2.37
S: 0.1586 0.6473 0.3166  1 H 1.36
S: 0.3414 0.1473 0.8166  1 H 1.36
S: 0.3633 0.5708 0.8329  2 Ge 2.24-2.37
S: 0.6367 0.4292 0.3329  2 Ge 2.24-2.37
S: 0.6586 0.8527 0.3166  1 H 1.36
S: 0.8414 0.3527 0.8166  1 H 1.36
S: 0.8633 0.9292 0.8329  2 Ge 2.24-2.37


The following is a DFT calculation (GGA-PBE) of an optimized crystal structure of ZnCdP2.

Output
Its calculated formation energy is 0.30 eV per formula unit. The density of states at the Fermi level comes out at 1.38 states/eV/cell. Its space group is No. 99. For the uncorrected energy, the calculation gives -3.176 eV per atom. For the total magnetic moment, the calculation gives 0.00 μB per cell. As for the excess energy over the best structure of this formula in the dataset: 16 meV per atom.

abc: 3.2336 3.2336 7.2231
angles: 90.00 90.00 90.00
With the nearest neighbours (Å) after each atom.
Atoms (fractional coordinates):
Zn: 0.0000 0.0000 0.0000  1 P 2.37
Cd: 0.5000 0.5000 0.2227  1 P 2.61, 4 Zn 2.80
P: 0.0000 0.0000 0.6720  1 Zn 2.37, 4 P 2.37
P: 0.5000 0.5000 0.5837  4 P 2.37, 1 Cd 2.61


Number 1: V 217.5 Å³/cell. Number 2: V 58.3 Å³/cell. Number 3: V 566.9 Å³/cell. Number 4: V 142.7 Å³/cell. Number 5: V 654.6 Å³/cell. Number 6: V 173.2 Å³/cell. Number 7: V 378.6 Å³/cell. Number 8: V 75.5 Å³/cell.